[1]
# NbCo2NiS SCAN single point on PBEsol structure
# - energy relative to the elements, uncorrected (eV per atom) = 0.799
# - E (Ry/atom) = -1.31628
data_NbCo2NiS
_cell_length_a 3.984
_cell_length_b 4.241
_cell_length_c 4.241
_cell_angle_alpha 90.00
_cell_angle_beta 90.00
_cell_angle_gamma 90.00
_symmetry_space_group_name_H-M 'P 1'
_symmetry_Int_Tables_number 1
_symmetry_space_group_name_Hall 'P 1'
loop_
_atom_site_label
_atom_site_type_symbol
_atom_site_fract_x
_atom_site_fract_y
_atom_site_fract_z
Ni1 Ni 0.000 0.000 0.000
Nb1 Nb 0.500 0.500 0.500
Co1 Co 0.000 0.000 0.500
Co2 Co 0.000 0.500 0.000
S1 S 0.500 0.000 0.000

[2]
# CdTe2ICl SCAN single point on PBEsol structure
# - energy relative to the elements, uncorrected (eV per atom) = 0.425
# - E (Ry/atom) = -2.16834
data_CdTe2ICl
_cell_length_a 5.524
_cell_length_b 5.524
_cell_length_c 5.582
_cell_angle_alpha 90.00
_cell_angle_beta 90.00
_cell_angle_gamma 90.00
_symmetry_space_group_name_H-M 'P 1'
_symmetry_Int_Tables_number 1
_symmetry_space_group_name_Hall 'P 1'
loop_
_atom_site_label
_atom_site_type_symbol
_atom_site_fract_x
_atom_site_fract_y
_atom_site_fract_z
I1 I 0.000 0.000 0.500
Cl1 Cl 0.500 0.500 0.500
Te1 Te 0.000 0.500 0.000
Te2 Te 0.500 0.000 0.000
Cd1 Cd 0.000 0.000 0.000

[3]
# LiLaSi2 SCAN single point on PBEsol structure
# - energy relative to the elements, uncorrected (eV per atom) = -0.496
# - E (Ry/atom) = -1.24045
# - energy relative to the lowest polymorph listed for this composition (eV per formula unit) = 0.00
data_LiLaSi2
_cell_length_a 3.844
_cell_length_b 4.463
_cell_length_c 5.544
_cell_angle_alpha 108.68
_cell_angle_beta 90.00
_cell_angle_gamma 115.51
_symmetry_space_group_name_H-M 'P 1'
_symmetry_Int_Tables_number 1
_symmetry_space_group_name_Hall 'P 1'
loop_
_atom_site_label
_atom_site_type_symbol
_atom_site_fract_x
_atom_site_fract_y
_atom_site_fract_z
Si1 Si 0.732 0.464 0.626
Si2 Si 0.268 0.536 0.374
La1 La 0.500 0.000 0.000
Li1 Li 0.000 0.000 0.500

[4]
# V6O11F SCAN single point on PBEsol structure
# - energy relative to the elements, uncorrected (eV per atom) = -2.711
# - E (Ry/atom) = -0.92202
# - energy relative to the lowest polymorph listed for this composition (eV per formula unit) = 0.00
data_V6O11F
_cell_length_a 5.364
_cell_length_b 5.364
_cell_length_c 6.973
_cell_angle_alpha 71.01
_cell_angle_beta 71.01
_cell_angle_gamma 74.52
_symmetry_space_group_name_H-M 'P 1'
_symmetry_Int_Tables_number 1
_symmetry_space_group_name_Hall 'P 1'
loop_
_atom_site_label
_atom_site_type_symbol
_atom_site_fract_x
_atom_site_fract_y
_atom_site_fract_z
V1 V 0.331 0.669 0.000
V2 V 0.676 0.997 0.166
V3 V 0.303 0.697 0.500
V4 V 0.661 0.972 0.683
V5 V 0.028 0.339 0.317
V6 V 0.003 0.324 0.834
O1 O 0.964 0.699 0.167
O2 O 0.769 0.097 0.863
O3 O 0.429 0.765 0.204
O4 O 0.102 0.436 0.531
O5 O 0.903 0.231 0.137
O6 O 0.235 0.571 0.796
O7 O 0.564 0.898 0.469
O8 O 0.705 0.628 0.835
O9 O 0.372 0.295 0.165
O10 O 0.022 0.978 0.500
O11 O 0.301 0.036 0.833
F1 F 0.634 0.366 0.500

[5]
# LiHf2Co SCAN single point on PBEsol structure
# - E (Ry/atom) = -2.64096
# - energy of formation from the pure elements (meV per atom) = 328
data_LiHf2Co
_cell_length_a 5.615
_cell_length_b 5.717
_cell_length_c 5.717
_cell_angle_alpha 76.04
_cell_angle_beta 60.59
_cell_angle_gamma 60.59
_symmetry_space_group_name_H-M 'P 1'
_symmetry_Int_Tables_number 1
_symmetry_space_group_name_Hall 'P 1'
loop_
_atom_site_label
_atom_site_type_symbol
_atom_site_fract_x
_atom_site_fract_y
_atom_site_fract_z
Co1 Co 0.000 0.000 0.000
Co2 Co 0.750 0.500 0.500
Hf1 Hf 0.875 0.040 0.460
Hf2 Hf 0.375 0.960 0.540
Hf3 Hf 0.665 0.460 0.960
Hf4 Hf 0.085 0.540 0.040
Li1 Li 0.500 0.000 0.000
Li2 Li 0.250 0.500 0.500

[6]
# CaAlAu SCAN single point on PBEsol structure
# - E (Ry/atom) = -2.18866
# - energy of formation from the pure elements (meV per atom) = -921
data_CaAlAu
_cell_length_a 4.484
_cell_length_b 7.229
_cell_length_c 7.688
_cell_angle_alpha 90.00
_cell_angle_beta 90.00
_cell_angle_gamma 90.00
_symmetry_space_group_name_H-M 'P 1'
_symmetry_Int_Tables_number 1
_symmetry_space_group_name_Hall 'P 1'
loop_
_atom_site_label
_atom_site_type_symbol
_atom_site_fract_x
_atom_site_fract_y
_atom_site_fract_z
Ca1 Ca 0.750 0.985 0.319
Ca2 Ca 0.750 0.485 0.181
Ca3 Ca 0.250 0.015 0.681
Ca4 Ca 0.250 0.515 0.819
Au1 Au 0.750 0.209 0.885
Au2 Au 0.250 0.791 0.115
Au3 Au 0.250 0.291 0.385
Au4 Au 0.750 0.709 0.615
Al1 Al 0.250 0.153 0.067
Al2 Al 0.750 0.847 0.933
Al3 Al 0.750 0.347 0.567
Al4 Al 0.250 0.653 0.433

[7]
# LiInNi SCAN single point on PBEsol structure
# - E (Ry/atom) = -1.28321
# - energy of formation from the pure elements (meV per atom) = -142
data_LiInNi
_cell_length_a 2.760
_cell_length_b 4.207
_cell_length_c 4.207
_cell_angle_alpha 120.00
_cell_angle_beta 90.00
_cell_angle_gamma 90.00
_symmetry_space_group_name_H-M 'P 1'
_symmetry_Int_Tables_number 1
_symmetry_space_group_name_Hall 'P 1'
loop_
_atom_site_label
_atom_site_type_symbol
_atom_site_fract_x
_atom_site_fract_y
_atom_site_fract_z
Ni1 Ni 0.484 0.667 0.333
In1 In 0.998 0.000 0.000
Li1 Li 0.519 0.333 0.667

[8]
# Sr2CaTl SCAN single point on PBEsol structure
# - E (Ry/atom) = -2.34918
# - energy relative to the lowest polymorph listed for this composition (eV per formula unit) = 0.00
# - energy of formation from the pure elements (meV per atom) = -319
data_Sr2CaTl
_cell_length_a 3.968
_cell_length_b 3.968
_cell_length_c 10.007
_cell_angle_alpha 90.00
_cell_angle_beta 90.00
_cell_angle_gamma 90.00
_symmetry_space_group_name_H-M 'P 1'
_symmetry_Int_Tables_number 1
_symmetry_space_group_name_Hall 'P 1'
loop_
_atom_site_label
_atom_site_type_symbol
_atom_site_fract_x
_atom_site_fract_y
_atom_site_fract_z
Sr1 Sr 0.000 0.000 0.985
Sr2 Sr 0.500 0.500 0.311
Tl1 Tl 0.000 0.000 0.517
Ca1 Ca 0.500 0.500 0.687

[9]
# NbAg2BPt SCAN single point on PBEsol structure
# - E (Ry/atom) = -2.42443
# - energy of formation from the pure elements (meV per atom) = 1711
data_NbAg2BPt
_cell_length_a 4.736
_cell_length_b 4.930
_cell_length_c 4.930
_cell_angle_alpha 90.00
_cell_angle_beta 90.00
_cell_angle_gamma 90.00
_symmetry_space_group_name_H-M 'P 1'
_symmetry_Int_Tables_number 1
_symmetry_space_group_name_Hall 'P 1'
loop_
_atom_site_label
_atom_site_type_symbol
_atom_site_fract_x
_atom_site_fract_y
_atom_site_fract_z
Nb1 Nb 0.500 0.000 0.000
B1 B 0.500 0.500 0.500
Ag1 Ag 0.000 0.000 0.500
Ag2 Ag 0.000 0.500 0.000
Pt1 Pt 0.000 0.000 0.000

[10]
# Zr2TaCo SCAN single point on PBEsol structure
# - E (Ry/atom) = -2.65792
# - energy relative to the lowest polymorph listed for this composition (eV per formula unit) = 0.93
# - energy of formation from the pure elements (meV per atom) = 158
data_Zr2TaCo
_cell_length_a 3.270
_cell_length_b 4.404
_cell_length_c 4.780
_cell_angle_alpha 90.00
_cell_angle_beta 90.00
_cell_angle_gamma 90.00
_symmetry_space_group_name_H-M 'P 1'
_symmetry_Int_Tables_number 1
_symmetry_space_group_name_Hall 'P 1'
loop_
_atom_site_label
_atom_site_type_symbol
_atom_site_fract_x
_atom_site_fract_y
_atom_site_fract_z
Co1 Co 0.500 0.500 0.000
Ta1 Ta 0.000 0.500 0.500
Zr1 Zr 0.000 0.000 0.000
Zr2 Zr 0.500 0.000 0.500

[11]
# Ba4ReOs SCAN single point on PBEsol structure
# - E (Ry/atom) = -3.53991
# - energy of formation from the pure elements (meV per atom) = 2033
data_Ba4ReOs
_cell_length_a 6.422
_cell_length_b 6.422
_cell_length_c 6.422
_cell_angle_alpha 60.00
_cell_angle_beta 60.00
_cell_angle_gamma 60.00
_symmetry_space_group_name_H-M 'P 1'
_symmetry_Int_Tables_number 1
_symmetry_space_group_name_Hall 'P 1'
loop_
_atom_site_label
_atom_site_type_symbol
_atom_site_fract_x
_atom_site_fract_y
_atom_site_fract_z
Ba1 Ba 0.375 0.375 0.375
Ba2 Ba 0.375 0.375 0.874
Ba3 Ba 0.874 0.375 0.375
Ba4 Ba 0.375 0.874 0.375
Os1 Os 0.750 0.750 0.750
Re1 Re 0.000 0.000 0.000

[12]
# MgZrZn2 SCAN single point on PBEsol structure
# - E (Ry/atom) = -1.17262
# - energy of formation from the pure elements (meV per atom) = -279
data_MgZrZn2
_cell_length_a 3.075
_cell_length_b 3.075
_cell_length_c 7.371
_cell_angle_alpha 90.00
_cell_angle_beta 90.00
_cell_angle_gamma 90.00
_symmetry_space_group_name_H-M 'P 1'
_symmetry_Int_Tables_number 1
_symmetry_space_group_name_Hall 'P 1'
loop_
_atom_site_label
_atom_site_type_symbol
_atom_site_fract_x
_atom_site_fract_y
_atom_site_fract_z
Zn1 Zn 0.000 0.000 0.743
Zn2 Zn 0.000 0.000 0.257
Mg1 Mg 0.500 0.500 0.500
Zr1 Zr 0.500 0.500 0.000